This record from the Alexandria database describes a relaxed LiTmPuGa crystal. The functional is PBE.

```
LiTmPuGa
1.0
0.000 3.573 3.573
3.573 0.000 3.573
3.573 3.573 0.000
Li Tm Pu Ga
1 1 1 1
Direct
0.000 0.000 0.000 Li
0.750 0.750 0.750 Tm
0.250 0.250 0.250 Pu
0.500 0.500 0.500 Ga
```

Summary:
ΔH_f (0 K) ... -0.11 eV/atom
DFT total energy ... -24.2 eV per cell
Space group ... No. 216
Density of states at the Fermi level ... 1.404 states/eV/atom